Material: PmIrBr
Method: DFT, GGA-PBE
State: relaxed

Values from the calculation:
M_tot	0.0	μB per cell
energy above the lowest structure with this stoichiometry	0.331	eV/atom

Unit cell a=10.9030 b=10.9030 c=3.9284 alpha=99.93 beta=99.93 gamma=21.70
With the nearest neighbours (Å) after each atom.
Positions (direct):
1 Pm 0.1690 0.1690 0.4228  6 Ir 2.98-3.17, 2 Br 3.31
2 Pm 0.8310 0.8310 0.5772  6 Ir 2.98-3.17, 2 Br 3.31
3 Ir 0.2873 0.2873 0.0360  2 Ir 2.58, 1 Br 2.66
4 Ir 0.7127 0.7127 0.9640  2 Ir 2.58, 1 Br 2.66
5 Br 0.4136 0.4136 0.1661  1 Ir 2.66
6 Br 0.5864 0.5864 0.8339  1 Ir 2.66